(w)
Entry from the Alexandria database: CrTc2Cl after structural relaxation (PBEsol). Values from VASP.

```
&SYSTEM
  ibrav = 0, nat = 4, ntyp = 3
/
ATOMIC_SPECIES
Cr 52.00 Cr.upf
Tc 98.00 Tc.upf
Cl 35.45 Cl.upf
CELL_PARAMETERS angstrom
2.902 0.000 0.000
0.000 3.679 0.000
0.000 0.000 6.441
ATOMIC_POSITIONS angstrom
Cr 1.451 1.840 5.189
Tc 1.451 1.840 0.885
Tc 0.000 0.000 6.193
Cl 0.000 0.000 3.837
```

(x)
Entry from the Alexandria database: CrTc2Cl after structural relaxation (PBEsol). Values from VASP.

```
&SYSTEM
  ibrav = 0, nat = 4, ntyp = 3
/
ATOMIC_SPECIES
Cr 52.00 Cr.upf
Tc 98.00 Tc.upf
Cl 35.45 Cl.upf
CELL_PARAMETERS angstrom
-2.137 -0.755 -1.758
0.631 -2.766 0.421
-4.065 -0.165 5.012
ATOMIC_POSITIONS angstrom
Cr -2.785 -1.843 1.838
Tc -2.968 -0.120 3.660
Tc -1.097 -0.044 1.352
Cl -0.753 -1.760 -0.668
```

(y)
Entry from the Alexandria database: CrTc2Cl after structural relaxation (PBEsol). Values from VASP.

```
&SYSTEM
  ibrav = 0, nat = 4, ntyp = 3
/
ATOMIC_SPECIES
Tc 98.00 Tc.upf
Cr 52.00 Cr.upf
Cl 35.45 Cl.upf
CELL_PARAMETERS angstrom
2.808 0.000 0.000
0.000 4.271 0.000
0.000 0.000 4.452
ATOMIC_POSITIONS angstrom
Tc 1.404 0.000 2.226
Tc 0.000 0.000 0.000
Cr 0.000 2.135 2.226
Cl 1.404 2.135 0.000
```

(z)
Entry from the Alexandria database: CrTc2Cl after structural relaxation (PBEsol). Values from VASP.

```
&SYSTEM
  ibrav = 0, nat = 4, ntyp = 3
/
ATOMIC_SPECIES
Cl 35.45 Cl.upf
Cr 52.00 Cr.upf
Tc 98.00 Tc.upf
CELL_PARAMETERS angstrom
-2.786 -0.447 0.388
0.774 -1.603 3.713
0.926 4.664 1.565
ATOMIC_POSITIONS angstrom
Cl -1.393 -0.223 0.194
Cr 0.387 -0.801 1.857
Tc -1.030 0.487 3.617
Tc -0.056 2.128 2.050
```

Most stable structure - (x); separation to the second - 0.149 eV/atom.